Entry 1:
# Ho2NiRu

A geometry-optimized Ho2NiRu structure (GGA-PBEsol, Alexandria via LeMat-Bulk).

a b c (Å): 4.691 4.691 4.691
angles (deg): 60.00 60.00 60.00
Sites, in units of the cell vectors:
Ho  0.250  0.250  0.250
Ho  0.750  0.750  0.750
Ni  0.000  0.000  0.000
Ru  0.500  0.500  0.500

Properties
**ΔH_f (0 K)**: -385.9 meV/atom
**Magnetization**: 0.00 μB/f.u.

Entry 2:
# Be2CoAu

A geometry-optimized Be2CoAu structure (GGA-PBEsol, Alexandria via LeMat-Bulk).

a b c (Å): 4.388 4.388 3.947
angles (deg): 106.54 106.54 36.09
Sites, in units of the cell vectors:
Be  0.000  0.000  0.000
Be  0.741  0.741  0.322
Co  0.479  0.479  0.460
Au  0.250  0.250  0.827

Properties
**ΔH_f (0 K)**: -79.1 meV/atom
**Magnetization**: 0.01 μB/f.u.

Entry 3:
# Si5Sb

A geometry-optimized Si5Sb structure (GGA-PBEsol, Alexandria via LeMat-Bulk).

a b c (Å): 3.360 9.155 9.155
angles (deg): 22.00 90.00 90.00
Sites, in units of the cell vectors:
Si  0.000  0.000  0.000
Si  0.000  0.291  0.291
Si  0.000  0.642  0.642
Si  0.500  0.100  0.100
Si  0.500  0.751  0.751
Sb  0.500  0.418  0.418

Properties
**Raw formation energy**: 0.350 eV/atom
**Energy relative to the lowest polymorph listed for this composition**: 0.0 meV/atom
**Magnetization**: 0.00 μB/f.u.

Entry 4:
# Li3TiV3O8

A geometry-optimized Li3TiV3O8 structure (GGA-PBEsol, Alexandria via LeMat-Bulk).

a b c (Å): 6.272 6.272 6.416
angles (deg): 106.59 106.59 36.89
Sites, in units of the cell vectors:
Li  0.000  0.000  0.000
Li  0.113  0.113  0.704
Li  0.883  0.883  0.350
Ti  0.766  0.766  0.643
V  0.339  0.339  0.057
V  0.444  0.444  0.657
V  0.668  0.668  0.044
O  0.167  0.167  0.028
O  0.281  0.281  0.705
O  0.399  0.399  0.353
O  0.493  0.493  0.988
O  0.615  0.615  0.707
O  0.717  0.717  0.355
O  0.836  0.836  0.021
O  0.943  0.943  0.668

Properties
**Raw formation energy**: -2.372 eV/atom
**Energy relative to the lowest polymorph listed for this composition**: 87.8 meV/atom
**Magnetization**: 4.21 μB/f.u.

Entry 5:
# IrAuBr2

A geometry-optimized IrAuBr2 structure (GGA-PBEsol, Alexandria via LeMat-Bulk).

a b c (Å): 6.914 6.914 6.914
angles (deg): 153.50 140.81 47.94
Sites, in units of the cell vectors:
Ir  0.000  0.000  0.000
Au  0.500  0.500  0.000
Br  0.153  0.653  0.500
Br  0.847  0.347  0.500

Properties
**Raw formation energy**: 0.353 eV/atom
**Energy relative to the lowest polymorph listed for this composition**: 0.0 meV/atom
**Magnetization**: 0.00 μB/f.u.

Entry 6:
# MgTa3Sb

A geometry-optimized MgTa3Sb structure (GGA-PBEsol, Alexandria via LeMat-Bulk).

a b c (Å): 4.700 4.700 4.700
angles (deg): 90.00 90.00 90.00
Sites, in units of the cell vectors:
Mg  0.000  0.000  0.000
Ta  0.000  0.000  0.500
Ta  0.000  0.500  0.000
Ta  0.500  0.000  0.000
Sb  0.500  0.500  0.500

Properties
**Raw formation energy**: 1.812 eV/atom
**Magnetization**: 0.00 μB/f.u.

Entry 7:
# Zr4Re2N

A geometry-optimized Zr4Re2N structure (GGA-PBEsol, Alexandria via LeMat-Bulk).

a b c (Å): 8.719 8.719 8.719
angles (deg): 60.00 60.00 60.00
Sites, in units of the cell vectors:
Zr  0.000  0.000  0.000
Zr  0.000  0.000  0.500
Zr  0.000  0.500  0.000
Zr  0.190  0.190  0.560
Zr  0.190  0.560  0.190
Zr  0.190  0.560  0.560
Zr  0.440  0.440  0.810
Zr  0.440  0.810  0.440
Zr  0.440  0.810  0.810
Zr  0.500  0.000  0.000
Zr  0.560  0.190  0.190
Zr  0.560  0.190  0.560
Zr  0.560  0.560  0.190
Zr  0.810  0.440  0.440
Zr  0.810  0.440  0.810
Zr  0.810  0.810  0.440
Re  0.125  0.792  0.792
Re  0.208  0.208  0.208
Re  0.208  0.208  0.875
Re  0.208  0.875  0.208
Re  0.792  0.125  0.792
Re  0.792  0.792  0.125
Re  0.792  0.792  0.792
Re  0.875  0.208  0.208
N  0.000  0.500  0.500
N  0.500  0.000  0.500
N  0.500  0.500  0.000
N  0.500  0.500  0.500

Properties
**Raw formation energy**: -0.720 eV/atom
**Magnetization**: 0.00 μB/f.u.

Entry 8:
# GaAg3B

A geometry-optimized GaAg3B structure (GGA-PBEsol, Alexandria via LeMat-Bulk).

a b c (Å): 4.331 4.331 4.331
angles (deg): 90.00 90.00 90.00
Sites, in units of the cell vectors:
Ga  0.000  0.000  0.000
Ag  0.000  0.500  0.500
Ag  0.500  0.000  0.500
Ag  0.500  0.500  0.000
B  0.500  0.500  0.500

Properties
**ΔH_f (0 K)**: 451.7 meV/atom
**Magnetization**: 0.00 μB/f.u.

Entry 9:
# KMgBr2

A geometry-optimized KMgBr2 structure (GGA-PBEsol, Alexandria via LeMat-Bulk).

a b c (Å): 3.889 4.000 7.615
angles (deg): 90.00 90.00 90.00
Sites, in units of the cell vectors:
K  0.000  0.000  0.000
Mg  0.500  0.000  0.500
Br  0.500  0.500  0.247
Br  0.500  0.500  0.753

Properties
**Raw formation energy**: -1.105 eV/atom
**Energy relative to the lowest polymorph listed for this composition**: 0.0 meV/atom
**Magnetization**: 0.85 μB/f.u.

Entry 10:
# BeTlP2

A geometry-optimized BeTlP2 structure (GGA-PBEsol, Alexandria via LeMat-Bulk).

a b c (Å): 4.568 4.568 3.949
angles (deg): 90.00 90.00 117.72
Sites, in units of the cell vectors:
Be  0.000  0.000  0.000
Tl  0.500  0.500  0.000
P  0.000  0.500  0.500
P  0.500  0.000  0.500

Properties
**Energy relative to the lowest polymorph listed for this composition**: 205.9 meV/atom
**ΔH_f (0 K)**: 714.4 meV/atom
**Magnetization**: 0.00 μB/f.u.

Entry 11:
# Sr2Mg

A geometry-optimized Sr2Mg structure (GGA-PBEsol, Alexandria via LeMat-Bulk).

a b c (Å): 7.363 7.363 8.942
angles (deg): 107.64 107.64 32.19
Sites, in units of the cell vectors:
Sr  0.027  0.027  0.222
Sr  0.325  0.325  0.366
Sr  0.675  0.675  0.634
Sr  0.973  0.973  0.778
Mg  0.325  0.325  0.959
Mg  0.675  0.675  0.041

Properties
**ΔH_f (0 K)**: -10.2 meV/atom
**Magnetization**: 0.00 μB/f.u.

Entry 12:
# U2Co12P7

A geometry-optimized U2Co12P7 structure (GGA-PBEsol, Alexandria via LeMat-Bulk).

a b c (Å): 8.887 8.887 3.538
angles (deg): 90.00 90.00 120.00
Sites, in units of the cell vectors:
U  0.000  0.000  0.000
U  0.333  0.667  0.500
Co  0.047  0.770  0.500
Co  0.112  0.400  0.000
Co  0.230  0.277  0.500
Co  0.289  0.888  0.000
Co  0.392  0.209  0.000
Co  0.541  0.106  0.500
Co  0.565  0.459  0.500
Co  0.600  0.711  0.000
Co  0.723  0.953  0.500
Co  0.791  0.182  0.000
Co  0.818  0.608  0.000
Co  0.894  0.435  0.500
P  0.064  0.620  0.000
P  0.268  0.041  0.500
P  0.380  0.444  0.000
P  0.556  0.936  0.000
P  0.667  0.333  0.000
P  0.773  0.732  0.500
P  0.959  0.227  0.500

Properties
**ΔH_f (0 K)**: -761.5 meV/atom
**Magnetization**: 3.30 μB/f.u.

What did the third record say?
# Si5Sb

A geometry-optimized Si5Sb structure (GGA-PBEsol, Alexandria via LeMat-Bulk).

a b c (Å): 3.360 9.155 9.155
angles (deg): 22.00 90.00 90.00
Sites, in units of the cell vectors:
Si  0.000  0.000  0.000
Si  0.000  0.291  0.291
Si  0.000  0.642  0.642
Si  0.500  0.100  0.100
Si  0.500  0.751  0.751
Sb  0.500  0.418  0.418

Properties
**Raw formation energy**: 0.350 eV/atom
**Energy relative to the lowest polymorph listed for this composition**: 0.0 meV/atom
**Magnetization**: 0.00 μB/f.u.

Copy entry 6 word for word.
# MgTa3Sb

A geometry-optimized MgTa3Sb structure (GGA-PBEsol, Alexandria via LeMat-Bulk).

a b c (Å): 4.700 4.700 4.700
angles (deg): 90.00 90.00 90.00
Sites, in units of the cell vectors:
Mg  0.000  0.000  0.000
Ta  0.000  0.000  0.500
Ta  0.000  0.500  0.000
Ta  0.500  0.000  0.000
Sb  0.500  0.500  0.500

Properties
**Raw formation energy**: 1.812 eV/atom
**Magnetization**: 0.00 μB/f.u.

Copy entry 5 word for word.
# IrAuBr2

A geometry-optimized IrAuBr2 structure (GGA-PBEsol, Alexandria via LeMat-Bulk).

a b c (Å): 6.914 6.914 6.914
angles (deg): 153.50 140.81 47.94
Sites, in units of the cell vectors:
Ir  0.000  0.000  0.000
Au  0.500  0.500  0.000
Br  0.153  0.653  0.500
Br  0.847  0.347  0.500

Properties
**Raw formation energy**: 0.353 eV/atom
**Energy relative to the lowest polymorph listed for this composition**: 0.0 meV/atom
**Magnetization**: 0.00 μB/f.u.